Record 1
MgScSbOs PBE optimized geometry; space group = F-43m; electronic total energy = -23.7 eV for the cell shown; E above lowest polymorph = 66 meV/atom
1.0
0.000 3.301 3.301
3.301 0.000 3.301
3.301 3.301 0.000
Mg Os Sb Sc
1 1 1 1
direct
0.750 0.750 0.750
0.500 0.500 0.500
0.250 0.250 0.250
0.000 0.000 0.000

Record 2
Lu3BiB2 PBE optimized geometry; space group = P6_3/mmc; electronic total energy = -63.6 eV for the cell shown
1.0
-3.508 -0.671 0.092
2.066 -1.621 -2.422
3.662 -17.146 14.599
B Bi Lu
4 2 6
direct
0.333 0.667 0.427
0.667 0.333 0.573
0.667 0.333 0.927
0.333 0.667 0.073
0.000 0.000 0.250
0.000 0.000 0.750
0.000 0.000 0.000
0.667 0.333 0.135
0.667 0.333 0.365
0.000 0.000 0.500
0.333 0.667 0.635
0.333 0.667 0.865

Record 3
HfBeCuPb PBE optimized geometry; space group = F-43m; electronic total energy = -19.5 eV for the cell shown; E above lowest polymorph = 0 meV/atom
1.0
0.000 3.255 3.255
3.255 0.000 3.255
3.255 3.255 0.000
Be Cu Hf Pb
1 1 1 1
direct
0.250 0.250 0.250
0.750 0.750 0.750
0.500 0.500 0.500
0.000 0.000 0.000

Record 4
YAlFePd PBE optimized geometry; space group = F-43m; electronic total energy = -24.3 eV for the cell shown; E above lowest polymorph = 198 meV/atom
1.0
-2.525 -3.757 -1.211
-2.654 -2.169 3.195
-4.670 0.295 -0.243
Al Fe Pd Y
1 1 1 1
direct
0.000 0.000 0.000
0.750 0.750 0.750
0.500 0.500 0.500
0.250 0.250 0.250

Record 5
Al16Re13 PBE optimized geometry; space group = I-43m; electronic total energy = -222.9 eV for the cell shown; E above lowest polymorph = 0 meV/atom
1.0
-4.832 4.832 4.832
4.832 -4.832 4.832
4.832 4.832 -4.832
Al Re
16 13
direct
0.657 0.000 0.000
0.681 0.402 0.000
0.000 0.657 0.000
0.402 0.681 0.000
0.598 0.598 0.279
0.721 0.319 0.319
0.319 0.721 0.319
0.343 0.343 0.343
0.681 0.000 0.402
0.000 0.681 0.402
0.598 0.279 0.598
0.279 0.598 0.598
0.000 0.000 0.657
0.402 0.000 0.681
0.000 0.402 0.681
0.319 0.319 0.721
0.000 0.000 0.000
0.368 0.190 0.000
0.190 0.368 0.000
0.810 0.810 0.178
0.368 0.000 0.190
0.000 0.368 0.190
0.190 0.000 0.368
0.000 0.190 0.368
0.822 0.632 0.632
0.632 0.822 0.632
0.810 0.178 0.810
0.178 0.810 0.810
0.632 0.632 0.822

Record 6
BaGdPt PBE optimized geometry; space group = F-43m; electronic total energy = -14.0 eV for the cell shown; E above lowest polymorph = 0 meV/atom
1.0
-1.718 -3.573 3.307
-4.856 -1.717 -0.349
-0.927 -4.805 -1.644
Ba Gd Pt
1 1 1
direct
0.250 0.250 0.250
0.750 0.750 0.750
0.000 0.000 0.000

Record 7
Na4ZnO3 PBE optimized geometry; space group = Cc; electronic total energy = -63.2 eV for the cell shown; E above lowest polymorph = 41 meV/atom
1.0
-1.172 3.395 7.188
-3.256 -5.574 -4.785
3.962 -3.531 1.956
Na O Zn
8 6 2
direct
0.664 0.292 0.218
0.333 0.708 0.218
0.507 0.503 0.223
0.933 0.103 0.254
0.292 0.664 0.718
0.708 0.333 0.718
0.503 0.507 0.723
0.103 0.933 0.754
0.819 0.642 0.003
0.354 0.187 0.442
0.035 0.615 0.472
0.642 0.819 0.503
0.187 0.354 0.942
0.615 0.035 0.972
0.081 0.838 0.278
0.838 0.081 0.778

Record 8
Er2LuSc3Bi2Os PBE optimized geometry; space group = Amm2; electronic total energy = -57.3 eV for the cell shown
1.0
4.202 0.000 0.000
0.000 6.820 3.935
0.000 -6.820 3.935
Bi Er Lu Os Sc
2 2 1 1 3
direct
0.500 0.665 0.333
0.500 0.333 0.665
0.000 0.999 0.614
0.000 0.614 0.999
0.000 0.382 0.382
0.000 0.004 0.004
0.500 0.000 0.226
0.500 0.776 0.776
0.500 0.226 0.000